Entry 1:
{"formula": "Tm4Ga16Co3", "functional": "PBE", "state": "relaxed", "spacegroup": "P4/mmm, No. 123", "vol_a3_per_cell": 396, "magmom_total_mub_per_atom": 0.000, "mass_density_g_cm3": 8.25, "delta_e_f_ev_per_atom": -0.49, "lattice": [[5.9892, 0.0000, 0.0000], [0.0000, 5.9892, 0.0000], [0.0000, 0.0000, 11.0427]], "species": ["Tm", "Tm", "Tm", "Tm", "Ga", "Ga", "Ga", "Ga", "Ga", "Ga", "Ga", "Ga", "Ga", "Ga", "Ga", "Ga", "Ga", "Ga", "Ga", "Ga", "Co", "Co", "Co"], "fractional_positions": [[0.5000, 0.0000, 0.8049], [0.0000, 0.5000, 0.8049], [0.5000, 0.0000, 0.1951], [0.0000, 0.5000, 0.1951], [0.2496, 0.7504, 0.6163], [0.7504, 0.2496, 0.6163], [0.2496, 0.2496, 0.6163], [0.2496, 0.7504, 0.3837], [0.5000, 0.5000, 0.8048], [0.7200, 0.7200, 0.0000], [0.0000, 0.0000, 0.2180], [0.2496, 0.2496, 0.3837], [0.7200, 0.2800, 0.0000], [0.2800, 0.2800, 0.0000], [0.2800, 0.7200, 0.0000], [0.5000, 0.5000, 0.1952], [0.0000, 0.0000, 0.7820], [0.7504, 0.7504, 0.3837], [0.7504, 0.7504, 0.6163], [0.7504, 0.2496, 0.3837], [0.5000, 0.0000, 0.5000], [0.0000, 0.5000, 0.5000], [0.0000, 0.0000, 0.0000]]}

=====

Entry 2:
{"formula": "TmGa6Co", "functional": "PBE", "state": "relaxed", "spacegroup": "Fm-3m, No. 225", "vol_a3_per_cell": 280, "magmom_total_mub_per_atom": 0.000, "mass_density_g_cm3": 3.83, "delta_e_f_ev_per_atom": 0.35, "lattice": [[7.3433, 0.0000, 0.0000], [3.6717, 6.3595, 0.0000], [3.6717, 2.1198, 5.9958]], "species": ["Ga", "Ga", "Ga", "Ga", "Ga", "Ga", "Co", "Tm"], "fractional_positions": [[0.2198, 0.7802, 0.7802], [0.7802, 0.2198, 0.2198], [0.7802, 0.7802, 0.2198], [0.7802, 0.2198, 0.7802], [0.2198, 0.7802, 0.2198], [0.2198, 0.2198, 0.7802], [0.0000, 0.0000, 0.0000], [0.5000, 0.5000, 0.5000]]}